This record from Alexandria via LeMat-Bulk describes a relaxed LaNb4N6 crystal. The functional is PBE-GGA.

POSCAR file:
```
LaNb4N6
1.0
3.1970 0.0000 0.0000
-1.5985 5.2190 0.0000
0.0000 0.0000 15.9069
La Nb N
2 8 12
Cartesian
1.5985 1.6122 3.9767 La
0.0000 3.6069 11.9302 La
1.5985 3.6906 8.6296 Nb
0.0000 4.1486 2.0343 Nb
0.0000 1.5285 7.2774 Nb
1.5985 1.0705 13.8727 Nb
1.5985 3.6906 15.2308 Nb
0.0000 1.5285 0.6761 Nb
1.5985 1.0705 9.9878 Nb
0.0000 4.1486 5.9192 Nb
1.5985 0.0000 0.0000 N
1.5985 0.0000 7.9535 N
0.0000 0.3426 5.5137 N
1.5985 4.8765 10.3932 N
1.5985 4.8765 13.4672 N
0.0000 0.3426 2.4397 N
1.5985 2.7557 6.4882 N
0.0000 2.4634 9.4188 N
0.0000 2.4634 14.4417 N
1.5985 2.7557 1.4653 N
0.0000 3.5943 3.9767 N
1.5985 1.6247 11.9302 N
```

Summary:
Its total DFT energy (no corrections) is -9.729 eV per atom. As for the symmetry: Cmcm. Its formation energy (no corrections) is -1078.6 meV/atom. For the volume, the calculation gives 12.06 Å³/atom.